1.
VASP calculation (PBE) on a relaxed ScBeHg2Pb crystal.

Output
Total DFT energy (no corrections)   -2.154 eV per atom
Formation enthalpy at 0 K   0.72 eV per atom
Mass density   7.46 g/cm3

Lattice parameters (Å, degrees): 5.470 5.470 4.929 90.00 90.00 90.00
Space group P4/mmm (No. 123)
Unique sites:
Sc  0.000  0.000  0.000 x1
Be  0.000  0.000  0.500 x1
Hg  0.000  0.500  0.000 x2
Pb  0.500  0.500  0.500 x1


2.
VASP calculation (PBE) on a relaxed La4Ni2C crystal.

Output
Total DFT energy (no corrections)   -5.816 eV per atom
Formation enthalpy at 0 K   -0.03 eV per atom
Mass density   6.19 g/cm3

Lattice parameters (Å, degrees): 5.322 5.322 12.969 90.00 90.00 90.00
Space group I4/mmm (No. 139)
Unique sites:
La  0.000  0.000  0.193 x4
La  0.000  0.500  0.000 x4
Ni  0.000  0.000  0.399 x4
C  0.000  0.000  0.000 x2


3.
VASP calculation (PBE) on a relaxed NdZr2Sc crystal.

Output
Total DFT energy (no corrections)   -6.909 eV per atom
Polymorph energy (0 for the lowest one)   0.016 eV/atom
Formation enthalpy at 0 K   0.14 eV per atom
Mass density   6.02 g/cm3

Lattice parameters (Å, degrees): 3.3018 3.3018 32.5833 90.00 90.00 120.00
Space group R-3m (No. 166, hexagonal axes)
Unique sites:
Nd  0.0000  0.0000  0.0000 x3
Zr  0.0000  0.0000  0.2464 x6
Sc  0.0000  0.0000  0.5000 x3


Question: Among the records above, which one has the lowest total DFT energy (no corrections)?
Answer: NdZr2Sc